[1]
! Ca2PmPr2 GGA-PBE relaxed; values from VASP
&SYSTEM
  ibrav = 0, nat = 5, ntyp = 3
/
ATOMIC_SPECIES
Pm 145.00 Pm.upf
Ca 40.08 Ca.upf
Pr 140.91 Pr.upf
CELL_PARAMETERS angstrom
3.737 0.000 -0.009
1.869 3.236 -0.009
0.034 0.020 15.644
ATOMIC_POSITIONS angstrom
Pm 0.000 0.000 0.000
Ca 1.890 1.091 9.466
Ca 3.750 2.165 6.161
Pr 3.763 2.173 12.693
Pr 1.877 1.084 2.934
! - Energy of formation: 3 kJ per mole of atoms
! - Theoretical density: 4.45 g cm⁻³



[2]
! TbDy2Tm2Mg5 GGA-PBE relaxed; values from VASP
&SYSTEM
  ibrav = 0, nat = 20, ntyp = 4
/
ATOMIC_SPECIES
Tm 168.93 Tm.upf
Mg 24.30 Mg.upf
Dy 162.50 Dy.upf
Tb 158.93 Tb.upf
CELL_PARAMETERS angstrom
-1.406 -4.856 0.072
2.229 -0.798 -10.256
9.861 -2.820 2.363
ATOMIC_POSITIONS angstrom
Tm 6.359 -1.838 0.249
Tm 2.016 -0.638 -3.638
Tm 10.074 -2.981 -4.255
Tm 5.732 -1.781 -8.142
Mg 10.210 -5.678 -6.009
Mg 4.228 -3.838 1.217
Mg 7.456 -4.854 -4.210
Mg 3.228 -3.621 -3.610
Mg 5.045 -4.184 -6.112
Mg 3.306 -3.723 -8.987
Mg 0.474 -2.796 -1.812
Mg 5.639 -4.290 -1.709
Mg 7.378 -4.751 1.166
Mg 0.411 -2.827 -5.092
Dy 8.824 -2.576 -1.361
Dy 3.266 -1.043 -6.532
Dy 3.573 -1.050 -1.064
Dy 8.518 -2.568 -6.829
Tb 0.000 0.000 0.000
Tb 6.045 -1.809 -3.947
! - Energy of formation: 7 kJ per mole of atoms
! - Theoretical density: 5.59 g cm⁻³



[3]
! Ce2Ni3Sn4Pd GGA-PBE relaxed; values from VASP
&SYSTEM
  ibrav = 0, nat = 10, ntyp = 4
/
ATOMIC_SPECIES
Pd 106.42 Pd.upf
Ni 58.69 Ni.upf
Sn 118.71 Sn.upf
Ce 140.12 Ce.upf
CELL_PARAMETERS angstrom
-3.997 -1.754 -1.115
1.200 -3.921 1.868
-3.831 3.070 8.903
ATOMIC_POSITIONS angstrom
Pd -3.314 -1.303 4.828
Ni -1.915 1.535 4.451
Ni -5.363 1.819 7.262
Ni 0.133 -1.587 2.018
Sn -0.801 -0.838 4.189
Sn 0.000 0.000 0.000
Sn -4.429 1.071 5.091
Sn -1.399 -2.838 0.377
Ce -2.984 -0.087 1.733
Ce -2.245 0.320 7.547
! - Energy of formation: -53 kJ per mole of atoms
! - Theoretical density: 8.35 g cm⁻³



[4]
! KScTa2 GGA-PBE relaxed; values from VASP
&SYSTEM
  ibrav = 0, nat = 4, ntyp = 3
/
ATOMIC_SPECIES
Sc 44.96 Sc.upf
Ta 180.95 Ta.upf
K 39.10 K.upf
CELL_PARAMETERS angstrom
4.932 -0.004 -0.001
4.040 2.829 -0.001
0.347 0.109 7.923
ATOMIC_POSITIONS angstrom
Sc 2.429 0.765 1.267
Ta 0.348 0.110 7.715
Ta 6.896 2.171 6.709
K 4.651 1.464 4.111
! - Energy of formation: 71 kJ per mole of atoms
! - Theoretical density: 6.69 g cm⁻³



[5]
! TlCr2Os GGA-PBE relaxed; values from VASP
&SYSTEM
  ibrav = 0, nat = 4, ntyp = 3
/
ATOMIC_SPECIES
Os 190.23 Os.upf
Tl 204.38 Tl.upf
Cr 52.00 Cr.upf
CELL_PARAMETERS angstrom
-1.368 2.834 -3.500
-3.930 1.963 1.689
4.230 -0.220 2.052
ATOMIC_POSITIONS angstrom
Os -1.175 2.071 1.418
Tl 0.106 2.507 -1.177
Cr -2.649 2.399 -0.905
Cr 0.000 0.000 0.000
! - Energy of formation: 70 kJ per mole of atoms
! - Theoretical density: 13.11 g cm⁻³



[6]
! Ti4HgCl8 GGA-PBE relaxed; values from VASP
&SYSTEM
  ibrav = 0, nat = 13, ntyp = 3
/
ATOMIC_SPECIES
Ti 47.87 Ti.upf
Cl 35.45 Cl.upf
Hg 200.59 Hg.upf
CELL_PARAMETERS angstrom
3.149 0.000 0.682
1.357 9.906 1.342
-0.689 0.159 10.792
ATOMIC_POSITIONS angstrom
Ti 1.302 5.064 1.597
Ti 2.662 5.008 10.537
Ti 1.910 8.895 6.399
Ti 2.057 1.208 5.723
Cl 1.004 6.812 10.582
Cl 2.581 6.225 3.301
Cl 2.960 3.260 1.550
Cl 1.384 3.851 8.830
Cl 0.131 0.395 7.006
Cl 0.643 2.861 4.642
Cl 3.836 9.708 5.117
Cl 3.324 7.242 7.481
Hg 0.960 0.166 10.784
! - Theoretical density: 3.29 g cm⁻³
! - Formation energy from raw total energies: -1.328 eV/atom



[7]
! HfTlGaBr6 GGA-PBE relaxed; values from VASP
&SYSTEM
  ibrav = 0, nat = 18, ntyp = 4
/
ATOMIC_SPECIES
Br 79.90 Br.upf
Hf 178.49 Hf.upf
Ga 69.72 Ga.upf
Tl 204.38 Tl.upf
CELL_PARAMETERS angstrom
-1.104 -5.785 4.810
1.933 -1.378 -7.224
13.179 0.361 3.457
ATOMIC_POSITIONS angstrom
Br 9.011 -4.206 0.401
Br 9.880 -3.070 -3.031
Br 4.128 -3.732 4.075
Br 4.891 -6.229 1.428
Br 12.571 -0.861 -1.543
Br 1.485 -2.267 2.019
Br 12.523 -4.535 -0.976
Br 2.281 -4.590 -0.772
Br 11.727 -2.212 1.816
Br 4.997 -2.596 0.643
Br 9.118 -0.574 -0.384
Br 1.437 -5.941 2.587
Hf 10.805 -2.576 -0.620
Hf 3.203 -4.226 1.663
Ga 4.216 -2.757 -2.348
Ga 9.793 -4.045 3.392
Tl 6.590 0.180 1.729
Tl 0.000 0.000 0.000
! - Theoretical density: 4.53 g cm⁻³
! - Formation energy from raw total energies: -1.113 eV/atom



[8]
! TbTh2OsC2 GGA-PBE relaxed; values from VASP
&SYSTEM
  ibrav = 0, nat = 12, ntyp = 4
/
ATOMIC_SPECIES
Os 190.23 Os.upf
Th 232.04 Th.upf
C 12.01 C.upf
Tb 158.93 Tb.upf
CELL_PARAMETERS angstrom
-1.509 -0.930 -3.361
0.844 -5.616 1.176
-10.152 -0.540 4.707
ATOMIC_POSITIONS angstrom
Os -5.408 -3.543 1.261
Os 0.000 0.000 0.000
Th -6.789 -2.972 3.870
Th -2.519 -3.184 2.012
Th -2.824 -0.795 -0.660
Th -7.993 -6.292 3.182
C -4.026 -5.028 1.051
C -0.917 -1.607 0.857
C -6.790 -2.059 1.470
C -8.390 -4.549 5.026
Tb -0.332 -3.273 -1.093
Tb -5.076 -0.270 2.353
! - Energy of formation: -18 kJ per mole of atoms
! - Theoretical density: 11.26 g cm⁻³



[9]
! KGaN GGA-PBE relaxed; values from VASP
&SYSTEM
  ibrav = 0, nat = 12, ntyp = 3
/
ATOMIC_SPECIES
K 39.10 K.upf
N 14.01 N.upf
Ga 69.72 Ga.upf
CELL_PARAMETERS angstrom
-2.065 1.611 5.916
-1.013 -6.216 1.482
6.975 1.896 -1.690
ATOMIC_POSITIONS angstrom
K -0.164 -2.405 4.207
K 0.310 0.705 3.454
K 4.061 -0.304 1.501
K 3.060 0.499 4.470
N -2.460 -3.680 5.913
N 1.594 -4.236 3.230
N 2.829 -2.387 0.260
N -0.618 -0.924 1.485
Ga 4.087 -3.816 0.768
Ga 0.599 -4.764 1.614
Ga 3.054 -3.010 3.726
Ga 1.106 -1.656 0.873
! - Theoretical density: 3.36 g cm⁻³
! - Formation energy from raw total energies: 0.327 eV/atom



[10]
! Be2SbRu GGA-PBE relaxed; values from VASP
&SYSTEM
  ibrav = 0, nat = 4, ntyp = 3
/
ATOMIC_SPECIES
Be 9.01 Be.upf
Sb 121.76 Sb.upf
Ru 101.07 Ru.upf
CELL_PARAMETERS angstrom
3.114 0.000 0.000
0.000 3.455 0.000
0.000 0.000 5.086
ATOMIC_POSITIONS angstrom
Be 1.557 1.727 1.221
Be 0.000 0.000 0.183
Sb 1.557 1.727 3.811
Ru 0.000 0.000 2.414
! - Theoretical density: 7.31 g cm⁻³
! - Formation energy from raw total energies: 0.157 eV/atom



[11]
! LaSb2CI GGA-PBE relaxed; values from VASP
&SYSTEM
  ibrav = 0, nat = 5, ntyp = 4
/
ATOMIC_SPECIES
La 138.91 La.upf
I 126.90 I.upf
Sb 121.76 Sb.upf
C 12.01 C.upf
CELL_PARAMETERS angstrom
6.284 0.000 0.000
0.000 6.284 0.000
0.000 0.000 6.172
ATOMIC_POSITIONS angstrom
La 0.000 0.000 0.000
I 0.000 0.000 3.086
Sb 3.142 0.000 0.000
Sb 0.000 3.142 0.000
C 3.142 3.142 3.086
! - Theoretical density: 3.55 g cm⁻³
! - Formation energy from raw total energies: 1.510 eV/atom



[12]
! Pr3Ho4Zn GGA-PBE relaxed; values from VASP
&SYSTEM
  ibrav = 0, nat = 8, ntyp = 3
/
ATOMIC_SPECIES
Ho 164.93 Ho.upf
Pr 140.91 Pr.upf
Zn 65.41 Zn.upf
CELL_PARAMETERS angstrom
3.599 0.000 0.000
0.000 3.599 0.000
0.000 0.000 19.023
ATOMIC_POSITIONS angstrom
Ho 0.000 0.000 1.746
Ho 0.000 0.000 6.941
Ho 0.000 0.000 17.277
Ho 0.000 0.000 12.082
Pr 1.799 1.799 14.659
Pr 1.799 1.799 9.511
Pr 1.799 1.799 4.364
Zn 1.799 1.799 0.000
! - Energy of formation: -7 kJ per mole of atoms
! - Theoretical density: 7.74 g cm⁻³